1.
Entry from the Alexandria database: Li2CaVF8 after structural relaxation (GGA+U).

Computed properties:
- Final energy: -5.4365 eV per atom
- N(E_F): 0.00 states/eV per cell

a b c (Å): 7.0164 6.4290 6.7736
angles (deg): 90.00 90.10 90.00
Last column: nearest neighbours and their distance in Å.
Space group C2/m (No. 12)
Symmetry-distinct sites (fractional):
Li 0.0006 0.0000 0.2097  4 F 1.93-1.99
Ca 0.0000 0.5000 0.0000  6 F 2.20-2.35
V 0.0000 0.5000 0.5000  6 F 1.81-1.93
F 0.9997 0.2977 0.2895  1 V 1.93, 1 Li 1.99
F 0.1867 0.0000 0.9999  2 Li 1.93
F 0.2418 0.0000 0.4994  1 V 1.81

---

2.
Entry from the Alexandria database: Li2CaVF6 after structural relaxation (GGA+U).

Computed properties:
- Final energy: -5.5740 eV per atom
- N(E_F): 0.00 states/eV per cell

a b c (Å): 5.3871 5.3871 14.7112
angles (deg): 90.00 90.00 120.00
Last column: nearest neighbours and their distance in Å.
Space group R3 (No. 146, hexagonal axes)
Symmetry-distinct sites (fractional):
Li 0.0000 0.0000 0.0000  3 F 1.95
Li 0.0000 0.0000 0.4882  3 F 1.94
Ca 0.0000 0.0000 0.2109  6 F 2.24-2.30
V 0.0000 0.0000 0.7026  6 F 2.12-2.14
F 0.0099 0.3222 0.1059  1 Li 1.94, 1 V 2.14
F 0.0158 0.6347 0.2777  1 Li 1.95, 1 V 2.12

---

3.
Entry from the Alexandria database: LiCaVF6 after structural relaxation (GGA+U).

Computed properties:
- Final energy: -5.7837 eV per atom
- N(E_F): 0.00 states/eV per cell

a b c (Å): 5.2198 9.0618 4.9634
angles (deg): 90.00 90.04 90.00
Last column: nearest neighbours and their distance in Å.
Space group C2 (No. 5)
Symmetry-distinct sites (fractional):
Li 0.0000 0.0000 0.0000  6 F 2.06-2.07
Ca 0.0000 0.6661 0.5000  6 F 2.30
V 0.0000 0.3330 0.0000  6 F 1.98
F 0.1471 0.1727 0.7777  1 V 1.98, 1 Li 2.06
F 0.1665 0.4870 0.7781  1 V 1.98, 1 Li 2.06
F 0.1858 0.8394 0.7777  1 V 1.98, 1 Li 2.07

---

4.
Entry from the Alexandria database: Li2CaWF8 after structural relaxation (GGA+U).

Computed properties:
- Final energy: -5.4073 eV per atom
- N(E_F): 0.00 states/eV per cell

a b c (Å): 4.7844 4.8279 7.0192
angles (deg): 87.28 86.75 85.96
Last column: nearest neighbours and their distance in Å.
Space group P-1 (No. 2)
Symmetry-distinct sites (fractional):
Li 0.0201 0.0280 0.2938  4 F 1.94-2.06
Ca 0.5000 0.5000 0.5000  6 F 2.20-2.37
W 0.5000 0.5000 0.0000  6 F 1.98-2.08
F 0.1828 0.1907 0.5054  2 Li 1.94-1.97
F 0.2152 0.2210 0.0308  1 W 1.98, 1 Li 2.22
F 0.2977 0.7011 0.7730  1 Li 2.00, 1 W 2.08
F 0.3054 0.7060 0.2194  1 W 2.02, 1 Li 2.06